Below is a geometry-optimized YTeAs2 structure, with properties calculated at the PBE level.

Cell: 5.9543 5.9543 4.8692 Å, 88.02 88.02 37.70°
Closest atoms and distances in Å follow each position.
Element x y z (fractional)
As 0.9904 0.9904 0.0802  2 As 2.55
As 0.5096 0.5096 0.4198  2 As 2.55
Te 0.7500 0.7500 0.7500  4 Y 3.10, 2 As 3.20
Y 0.2500 0.2500 0.2500  6 As 3.07-3.40, 4 Te 3.10

Output
- SG = C2/m (12)
- energy relative to the elements, uncorrected (eV per atom) = -0.574
- total energy (eV per atom) = -5.300